Record 1
Density functional theory data (PBE-GGA) for a geometry-optimized Ac2PtRhO6 structure.

```
Ac2PtRhO6
1.0
5.5021 -2.7483 0.0000
5.5021 2.7483 0.0000
-1.7503 0.0000 4.7922
Ac Pt Rh O
2 1 1 6
Cartesian
2.1805 0.0000 1.0478 Ac
7.0734 0.0000 3.7444 Ac
-0.8751 0.0000 2.3961 Pt
5.5021 0.0000 0.0000 Rh
4.3369 1.3931 0.9352 O
2.0976 0.0000 3.5044 O
4.9170 1.3931 3.8570 O
4.3369 -1.3931 0.9352 O
7.1563 0.0000 1.2879 O
4.9170 -1.3931 3.8570 O
```

Calculated values
The uncorrected formation energy comes out at -1.9878 eV/atom. Its space group is C2/m (12). The total energy is -7.124 eV per atom.

---

Record 2
Density functional theory data (PBE-GGA) for a geometry-optimized AcPtRh2O8 structure.

```
AcPtRh2O8
1.0
5.7197 0.0000 0.0000
-2.8598 4.9534 0.0000
0.0000 0.0000 7.2365
Ac Pt Rh O
1 1 2 8
Cartesian
0.0000 0.0000 0.0000 Ac
0.0000 0.0000 3.6183 Pt
0.0000 3.3023 2.0213 Rh
2.8599 1.6511 5.2152 Rh
0.0000 1.4557 2.1717 O
-1.5992 4.2256 2.1717 O
1.2607 0.7278 5.0648 O
0.0000 3.3023 0.1253 O
2.8599 1.6511 7.1112 O
1.5992 4.2256 2.1717 O
4.4590 0.7278 5.0648 O
2.8598 3.4977 5.0648 O
```

Calculated values
The uncorrected formation energy comes out at -0.8373 eV/atom. Its space group is P-3m1 (164). The total energy is -6.214 eV per atom.

---

Record 3
Density functional theory data (PBE-GGA) for a geometry-optimized AcPtRhO6 structure.

```
AcPtRhO6
1.0
5.3244 0.0000 0.0000
-2.6622 4.6110 0.0000
0.0000 0.0000 5.3200
Ac Pt Rh O
1 1 1 6
Cartesian
0.0000 0.0000 0.0000 Ac
0.0000 3.0740 2.6600 Pt
2.6622 1.5370 2.6600 Rh
1.9811 0.0078 1.5581 O
0.9973 1.7118 3.7619 O
3.3433 0.0078 3.7619 O
1.6784 2.8914 1.5581 O
4.3270 1.7118 1.5581 O
3.6460 2.8914 3.7619 O
```

Calculated values
The uncorrected formation energy comes out at -1.3894 eV/atom. Its space group is P312 (149). The total energy is -6.639 eV per atom.

---

Record 4
Density functional theory data (PBE-GGA) for a geometry-optimized Ac5RuPt2O structure.

```
Ac5RuPt2O
1.0
2.1717 -9.0991 0.0000
2.1717 9.0991 0.0000
0.0000 0.0000 13.3707
Ac Ru Pt O
10 2 4 2
Cartesian
2.1717 8.9575 6.6853 Ac
2.1717 6.3737 10.0977 Ac
2.1717 5.7055 1.7310 Ac
2.1717 5.2119 5.7237 Ac
2.1717 0.5784 9.9246 Ac
2.1717 -0.5784 3.2392 Ac
2.1717 -5.2119 12.4091 Ac
2.1717 -5.7055 8.4164 Ac
2.1717 -6.3737 3.4123 Ac
2.1717 -8.9575 0.0000 Ac
2.1717 3.4963 10.4630 Ru
2.1717 -3.4963 3.7776 Ru
2.1717 2.3233 1.0156 Pt
2.1717 1.8286 5.5805 Pt
2.1717 -1.8286 12.2658 Pt
2.1717 -2.3233 7.7010 Pt
2.1717 8.2472 2.1613 O
2.1717 -8.2472 8.8466 O
```

Calculated values
The uncorrected formation energy comes out at -1.1537 eV/atom. Its space group is Cmc2_1 (36). The total energy is -6.360 eV per atom.

---

Record 5
Density functional theory data (PBE-GGA) for a geometry-optimized AcSbPt2O8 structure.

```
AcSbPt2O8
1.0
6.0079 0.0000 0.0000
-3.0039 5.2030 0.0000
0.0000 0.0000 7.0767
Ac Sb Pt O
1 1 2 8
Cartesian
0.0000 0.0000 0.0000 Ac
0.0000 0.0000 3.5383 Sb
0.0000 3.4687 1.8794 Pt
3.0039 1.7343 5.1972 Pt
0.0000 1.5056 2.1563 O
-1.7001 4.4502 2.1563 O
1.3039 0.7528 4.9203 O
0.0000 3.4687 7.0549 O
3.0039 1.7343 0.0217 O
1.7001 4.4502 2.1563 O
4.7040 0.7528 4.9203 O
3.0039 3.6974 4.9203 O
```

Calculated values
The uncorrected formation energy comes out at -0.7818 eV/atom. Its space group is P-3m1 (164). The total energy is -5.780 eV per atom.

---

Record 6
Density functional theory data (PBE-GGA) for a geometry-optimized AcSb2PtO8 structure.

```
AcSb2PtO8
1.0
5.1445 0.0000 0.0000
0.0000 6.5163 0.0000
-0.3784 0.0000 5.1307
Ac Sb Pt O
1 2 1 8
Cartesian
0.0000 0.0000 0.0000 Ac
2.3830 1.7091 2.5654 Sb
2.3830 4.8073 2.5654 Sb
0.0000 3.2582 0.0000 Pt
1.0280 1.8212 1.0979 O
1.0280 4.6951 1.0979 O
1.3631 3.2582 3.5078 O
1.4753 0.0000 3.4023 O
3.2907 0.0000 1.7284 O
3.4030 3.2582 1.6230 O
3.7381 1.8212 4.0328 O
3.7381 4.6951 4.0328 O
```

Calculated values
The uncorrected formation energy comes out at -1.4578 eV/atom. Its space group is P2/m (10). The total energy is -6.296 eV per atom.

---

Record 7
Density functional theory data (PBE-GGA) for a geometry-optimized AcScPt2O8 structure.

```
AcScPt2O8
1.0
5.8881 0.0000 0.0000
-2.9440 5.0992 0.0000
0.0000 0.0000 7.1781
Ac Sc Pt O
1 1 2 8
Cartesian
0.0000 0.0000 0.0000 Ac
0.0000 0.0000 3.5890 Sc
0.0000 3.3995 1.8821 Pt
2.9440 1.6997 5.2960 Pt
0.0000 1.4992 2.1244 O
-1.6457 4.3496 2.1244 O
1.2984 0.7496 5.0536 O
0.0000 3.3995 7.1611 O
2.9440 1.6997 0.0169 O
1.6457 4.3496 2.1244 O
4.5897 0.7496 5.0536 O
2.9440 3.6000 5.0536 O
```

Calculated values
The uncorrected formation energy comes out at -1.1895 eV/atom. Its space group is P-3m1 (164). The total energy is -6.372 eV per atom.

---

Record 8
Density functional theory data (PBE-GGA) for a geometry-optimized AcScPtO6 structure.

```
AcScPtO6
1.0
5.3868 0.0000 0.0000
-2.6934 4.6651 0.0000
0.0000 0.0000 5.3819
Ac Sc Pt O
1 1 1 6
Cartesian
0.0000 0.0000 0.0000 Ac
0.0000 3.1101 2.6910 Sc
2.6934 1.5550 2.6910 Pt
1.9686 0.0856 3.8093 O
1.0584 1.6621 1.5726 O
3.4182 0.0856 1.5726 O
1.7832 2.9174 3.8093 O
4.3283 1.6621 3.8093 O
3.6036 2.9174 1.5726 O
```

Calculated values
The uncorrected formation energy comes out at -2.0434 eV/atom. Its space group is P312 (149). The total energy is -7.180 eV per atom.

---

Record 9
Density functional theory data (PBE-GGA) for a geometry-optimized Ac2ScPtO8 structure.

```
Ac2ScPtO8
1.0
4.4996 0.0000 0.0000
0.0000 7.1791 0.0000
-0.6684 0.0000 5.4354
Ac Sc Pt O
2 1 1 8
Cartesian
0.0000 1.7721 0.0000 Ac
0.0000 5.4069 0.0000 Ac
1.9156 3.5895 2.7177 Sc
1.9156 0.0000 2.7177 Pt
0.0708 0.0000 2.1246 O
0.3205 3.5895 1.4252 O
1.5239 1.5842 3.9695 O
1.5239 5.5949 3.9695 O
2.3074 1.5842 1.4659 O
2.3074 5.5949 1.4659 O
3.5107 3.5895 4.0102 O
3.7605 0.0000 3.3108 O
```

Calculated values
The uncorrected formation energy comes out at -2.0711 eV/atom. Its space group is P2/m (10). The total energy is -7.092 eV per atom.

---

Record 10
Density functional theory data (PBE-GGA) for a geometry-optimized AcScPtO4 structure.

```
AcScPtO4
1.0
-2.8797 2.8797 3.3908
2.8797 -2.8797 3.3908
2.8797 2.8797 -3.3908
Ac Sc Pt O
1 1 1 4
Cartesian
0.0000 0.0000 0.0000 Ac
0.0000 0.0000 3.3908 Sc
2.8797 0.0000 1.6954 Pt
1.7551 1.8656 -1.3742 O
1.1246 1.0141 2.0166 O
3.8938 1.7551 1.3742 O
-1.0141 1.1246 4.7651 O
```

Calculated values
The uncorrected formation energy comes out at -2.4198 eV/atom. Its space group is I-4 (82). The total energy is -7.607 eV per atom.

---

Record 11
Density functional theory data (PBE-GGA) for a geometry-optimized Ac2ScPt3O12 structure.

```
Ac2ScPt3O12
1.0
3.5754 2.0643 5.4425
-3.5754 2.0643 5.4425
0.0000 -4.1285 5.4425
Ac Sc Pt O
2 1 3 12
Cartesian
0.0000 0.0000 1.9159 Ac
0.0000 0.0000 14.4115 Ac
0.0000 0.0000 8.1637 Sc
-1.7877 -1.0321 5.4425 Pt
-1.7877 1.0321 10.8849 Pt
0.0000 2.0643 5.4425 Pt
-1.8697 -1.0795 7.4325 O
0.0000 -1.8408 5.6765 O
-1.5941 0.9204 5.6765 O
-1.5941 -0.9204 10.6509 O
0.0000 -2.1589 8.8949 O
-1.8697 1.0795 8.8949 O
1.8697 -1.0795 7.4325 O
0.0000 2.1589 7.4325 O
1.5941 0.9204 5.6765 O
1.5941 -0.9204 10.6509 O
0.0000 1.8408 10.6509 O
1.8697 1.0794 8.8949 O
```

Calculated values
The uncorrected formation energy comes out at -1.5325 eV/atom. Its space group is R-3m (166). The total energy is -6.653 eV per atom.

---

Record 12
Density functional theory data (PBE-GGA) for a geometry-optimized AcSiPt2O8 structure.

```
AcSiPt2O8
1.0
5.1408 0.0000 0.0000
-2.5704 4.4520 0.0000
0.0000 0.0000 6.8904
Ac Si Pt O
1 1 2 8
Cartesian
0.0000 0.0000 0.0000 Ac
0.0000 0.0000 3.4452 Si
0.0000 2.9680 4.6017 Pt
2.5704 1.4840 2.2887 Pt
-1.7564 3.3049 2.3467 O
0.5864 1.2785 2.3467 O
1.4004 0.1314 4.5437 O
0.0000 2.9680 6.5214 O
2.5704 1.4840 0.3691 O
1.1700 4.3206 2.3467 O
1.9840 3.1735 4.5437 O
4.3268 1.1471 4.5437 O
```

Calculated values
The uncorrected formation energy comes out at -1.1246 eV/atom. Its space group is P-3 (147). The total energy is -6.231 eV per atom.

---

Record 13
Density functional theory data (PBE-GGA) for a geometry-optimized AcSmPtO6 structure.

```
AcSmPtO6
1.0
5.6603 0.0000 0.0000
-2.8301 4.9019 0.0000
0.0000 0.0000 5.2659
Ac Sm Pt O
1 1 1 6
Cartesian
0.0000 0.0000 0.0000 Ac
2.8301 1.6340 2.6330 Sm
0.0000 3.2680 2.6330 Pt
-0.8255 1.8582 1.4935 O
-1.6336 3.2580 3.7725 O
0.8255 1.8582 3.7725 O
-0.8082 4.6877 1.4935 O
1.6336 3.2580 1.4935 O
0.8082 4.6877 3.7725 O
```

Calculated values
The uncorrected formation energy comes out at -1.9690 eV/atom. Its space group is P312 (149). The total energy is -6.926 eV per atom.

---

Record 14
Density functional theory data (PBE-GGA) for a geometry-optimized Ac2SmPtO8 structure.

```
Ac2SmPtO8
1.0
5.6308 0.0000 0.0000
-2.8154 4.8764 0.0000
0.0000 0.0000 6.4368
Ac Sm Pt O
2 1 1 8
Cartesian
0.0000 3.2509 2.3152 Ac
2.8154 1.6255 4.1215 Ac
0.0000 0.0000 0.0000 Sm
0.0000 0.0000 3.2184 Pt
0.0000 1.5710 4.4410 O
-1.4549 4.0909 4.4410 O
1.3605 0.7855 1.9957 O
0.0000 3.2509 0.1542 O
2.8154 1.6255 6.2826 O
1.4549 4.0909 4.4410 O
4.2703 0.7855 1.9957 O
2.8154 3.3054 1.9957 O
```

Calculated values
The uncorrected formation energy comes out at -1.8620 eV/atom. Its space group is P-3m1 (164). The total energy is -6.749 eV per atom.

---

Record 15
Density functional theory data (PBE-GGA) for a geometry-optimized AcSm2PtO8 structure.

```
AcSm2PtO8
1.0
4.4155 0.0000 0.0000
-0.0793 5.4483 0.0000
-0.0050 -0.0104 7.2411
Ac Sm Pt O
1 2 1 8
Cartesian
0.0000 0.0000 0.0000 Ac
2.1614 2.7136 5.4649 Sm
2.1697 2.7244 1.7762 Sm
-0.0025 -0.0052 3.6206 Pt
0.0976 4.0465 2.1485 O
0.0971 4.0431 5.0894 O
1.8407 0.6250 3.6183 O
2.1166 1.3877 7.2409 O
2.2145 4.0503 0.0003 O
2.4905 4.8130 3.6228 O
4.2340 1.3949 2.1518 O
4.2336 1.3915 5.0927 O
```

Calculated values
The uncorrected formation energy comes out at -2.1624 eV/atom. Its space group is P-1 (2). The total energy is -7.100 eV per atom.

---

Record 16
Density functional theory data (PBE-GGA) for a geometry-optimized SrAcPt2O8 structure.

```
SrAcPt2O8
1.0
6.0857 0.0000 0.0000
-3.0429 5.2704 0.0000
0.0000 0.0000 7.6274
Sr Ac Pt O
1 1 2 8
Cartesian
0.0000 0.0000 0.0000 Sr
0.0000 0.0000 3.8137 Ac
0.0000 3.5136 6.1461 Pt
3.0429 1.7568 1.4813 Pt
-0.0063 1.6871 5.5961 O
-1.5786 4.4323 5.5961 O
1.4580 0.8490 2.0313 O
0.0000 3.5136 0.3565 O
3.0429 1.7568 7.2709 O
1.5849 4.4214 5.5961 O
4.6215 0.8381 2.0313 O
3.0491 3.5833 2.0313 O
```

Calculated values
The uncorrected formation energy comes out at -1.0101 eV/atom. Its space group is P-3 (147). The total energy is -5.805 eV per atom.

---

Record 17
Density functional theory data (PBE-GGA) for a geometry-optimized SrAcPtO6 structure.

```
SrAcPtO6
1.0
5.9909 0.0000 0.0000
-2.9955 5.1883 0.0000
0.0000 0.0000 9.3828
Sr Ac Pt O
2 2 2 12
Cartesian
0.0000 0.0000 0.0000 Sr
0.0000 0.0000 4.6914 Sr
0.0000 3.4589 2.3457 Ac
2.9955 1.7294 7.0371 Ac
0.0000 3.4589 7.0371 Pt
2.9955 1.7294 2.3457 Pt
-0.8110 2.0391 5.9501 O
-1.6350 3.4664 8.1242 O
0.8110 2.0391 8.1242 O
-0.8241 4.8710 5.9501 O
2.1714 0.3173 1.2586 O
1.3604 1.7219 3.4328 O
1.6350 3.4664 5.9501 O
0.8241 4.8710 8.1242 O
3.8195 0.3173 3.4328 O
2.1845 3.1492 1.2586 O
4.6305 1.7219 1.2586 O
3.8064 3.1492 3.4328 O
```

Calculated values
The uncorrected formation energy comes out at -1.6234 eV/atom. Its space group is P-31c (163). The total energy is -6.243 eV per atom.

---

Record 18
Density functional theory data (PBE-GGA) for a geometry-optimized Sr2AcPtO5 structure.

```
Sr2AcPtO5
1.0
6.7886 0.0000 0.0000
0.0000 6.7886 0.0000
0.0000 0.0000 6.0455
Sr Ac Pt O
4 2 2 10
Cartesian
1.1444 2.2500 0.0000 Sr
2.2500 5.6443 0.0000 Sr
4.5387 1.1444 0.0000 Sr
5.6443 4.5387 0.0000 Sr
0.0000 0.0000 3.0228 Ac
3.3943 3.3943 3.0228 Ac
0.0000 3.3943 3.0228 Pt
3.3943 0.0000 3.0228 Pt
0.0000 0.0000 0.0000 O
1.0364 4.4307 1.6849 O
1.0364 4.4307 4.3606 O
2.3580 1.0364 1.6849 O
2.3580 1.0364 4.3606 O
3.3943 3.3943 0.0000 O
4.4307 5.7523 1.6849 O
4.4307 5.7523 4.3606 O
5.7523 2.3580 1.6849 O
5.7523 2.3580 4.3606 O
```

Calculated values
The uncorrected formation energy comes out at -2.2506 eV/atom. Its space group is P4/mbm (127). The total energy is -6.507 eV per atom.

---

Record 19
Density functional theory data (PBE-GGA) for a geometry-optimized SrAc2PtO6 structure.

```
SrAc2PtO6
1.0
5.9178 0.0000 0.0000
0.0000 6.2291 0.0000
-5.8037 0.0000 8.5197
Sr Ac Pt O
2 4 2 12
Cartesian
0.0000 0.0000 0.0000 Sr
-2.9019 3.1146 4.2598 Sr
-2.7671 0.3540 6.3682 Ac
0.1347 2.7605 2.1083 Ac
-0.0207 3.4686 6.4113 Ac
2.8812 5.8751 2.1515 Ac
0.0570 0.0000 4.2598 Pt
2.9589 3.1146 0.0000 Pt
-0.6393 0.3151 2.3383 O
-3.5411 2.7994 6.5981 O
1.2907 4.2442 0.4396 O
-1.6111 5.0995 4.6995 O
1.9393 1.3968 0.5725 O
-0.9626 1.7177 4.8323 O
1.0767 4.5114 3.6874 O
-1.8252 4.8323 7.9472 O
1.7252 1.1296 3.8202 O
-1.1767 1.9849 8.0800 O
3.6552 3.4297 1.9216 O
0.7533 5.9140 6.1814 O
```

Calculated values
The uncorrected formation energy comes out at -2.4227 eV/atom. Its space group is P2_1/c (14). The total energy is -6.992 eV per atom.

---

Record 20
Density functional theory data (PBE-GGA) for a geometry-optimized AcTaPt2O8 structure.

```
AcTaPt2O8
1.0
5.4067 0.0000 0.0000
-2.7033 4.6823 0.0000
0.0000 0.0000 7.0643
Ac Ta Pt O
1 1 2 8
Cartesian
0.0000 0.0000 0.0000 Ac
0.0000 0.0000 3.5321 Ta
0.0000 3.1215 4.9198 Pt
2.7033 1.5608 2.1445 Pt
-1.8568 3.3942 2.2590 O
0.6923 1.3772 2.2590 O
1.5388 0.0890 4.8052 O
0.0000 3.1215 6.8178 O
2.7033 1.5608 0.2465 O
1.1645 4.5933 2.2590 O
2.0110 3.3051 4.8052 O
4.5601 1.2881 4.8052 O
```

Calculated values
The uncorrected formation energy comes out at -1.2103 eV/atom. Its space group is P-3 (147). The total energy is -6.853 eV per atom.